Material: Ca2Pr2Nd3
Method: DFT, PBE-GGA
State: relaxed Values from VASP.

Calculated values
Magnetic moment   0.0000 μB/atom
Crystal system   monoclinic
ΔE_f   0.0731 eV per atom
Raw total energy   -27.354 eV per cell

Cell and atoms, written as Quantum ESPRESSO input:
```
&SYSTEM
  ibrav = 0, nat = 7, ntyp = 3
/
ATOMIC_SPECIES
Nd 144.24 Nd.upf
Pr 140.91 Pr.upf
Ca 40.08 Ca.upf
CELL_PARAMETERS angstrom
5.146 0.000 1.374
2.008 5.458 2.804
0.170 1.222 9.686
ATOMIC_POSITIONS angstrom
Nd 3.631 5.295 7.048
Nd 2.573 0.000 0.687
Nd 3.693 1.385 6.816
Pr 4.636 1.771 3.286
Pr 2.689 4.909 10.578
Ca 5.763 3.186 9.387
Ca 1.561 3.494 4.477
```

Material: CaPrNd14
Method: DFT, PBE-GGA
State: relaxed Values from VASP.

Calculated values
Magnetic moment   0.0000 μB/atom
Crystal system   orthorhombic
ΔE_f   0.0392 eV per atom
Raw total energy   -72.903 eV per cell

Cell and atoms, written as Quantum ESPRESSO input:
```
&SYSTEM
  ibrav = 0, nat = 16, ntyp = 3
/
ATOMIC_SPECIES
Nd 144.24 Nd.upf
Ca 40.08 Ca.upf
Pr 140.91 Pr.upf
CELL_PARAMETERS angstrom
7.459 -0.107 0.000
-3.638 6.512 0.000
0.000 0.000 11.939
ATOMIC_POSITIONS angstrom
Nd 3.790 4.286 3.008
Nd -1.786 5.407 5.970
Nd 0.031 2.155 5.970
Nd 1.850 1.033 8.931
Nd 3.790 4.286 8.931
Nd 0.031 2.174 0.000
Nd 5.639 0.978 8.937
Nd 1.850 1.033 3.008
Nd 1.939 5.353 5.970
Nd 5.639 0.978 3.002
Nd 0.062 4.305 2.973
Nd 3.760 2.099 5.970
Nd 1.922 5.345 0.000
Nd 0.062 4.305 8.966
Ca 3.758 2.100 0.000
Pr -1.772 5.399 0.000
```

Material: CaPr2Nd6
Method: DFT, PBE-GGA
State: relaxed Values from VASP.

Calculated values
Magnetic moment   0.0000 μB/atom
Crystal system   monoclinic
ΔE_f   0.1006 eV per atom
Raw total energy   -39.262 eV per cell

Cell and atoms, written as Quantum ESPRESSO input:
```
&SYSTEM
  ibrav = 0, nat = 9, ntyp = 3
/
ATOMIC_SPECIES
Nd 144.24 Nd.upf
Pr 140.91 Pr.upf
Ca 40.08 Ca.upf
CELL_PARAMETERS angstrom
-1.389 0.029 -3.344
8.529 -2.554 -5.444
2.067 -9.831 -2.824
ATOMIC_POSITIONS angstrom
Nd 5.687 -4.953 -6.258
Nd 3.512 -7.403 -5.376
Nd 0.501 -6.387 -4.107
Nd 4.582 -10.623 -5.807
Nd 4.633 -1.733 -5.783
Nd 8.715 -5.969 -7.483
Pr 3.477 -4.298 -3.364
Pr 5.721 -8.059 -8.272
Ca 9.206 -12.354 -11.608
```

Material: CaPrNd3
Method: DFT, PBE-GGA
State: relaxed Values from VASP.

Calculated values
Magnetic moment   0.0000 μB/atom
Crystal system   orthorhombic
ΔE_f   0.1631 eV per atom
Raw total energy   -40.538 eV per cell

Cell and atoms, written as Quantum ESPRESSO input:
```
&SYSTEM
  ibrav = 0, nat = 10, ntyp = 3
/
ATOMIC_SPECIES
Ca 40.08 Ca.upf
Nd 144.24 Nd.upf
Pr 140.91 Pr.upf
CELL_PARAMETERS angstrom
-6.253 -0.049 1.402
2.796 -0.378 -5.755
0.293 -11.494 0.898
ATOMIC_POSITIONS angstrom
Ca -0.168 -6.012 -2.846
Ca -2.997 -5.909 -0.608
Nd -3.058 -2.415 -0.903
Nd -3.365 -4.057 -4.068
Nd -0.107 -9.506 -2.551
Nd -2.881 -9.405 -0.358
Nd -0.284 -2.516 -3.096
Nd 0.199 -7.864 0.613
Pr 1.551 -0.333 -4.770
Pr -5.009 -0.095 0.418
```

Material: CaPr6Nd4
Method: DFT, PBE-GGA
State: relaxed Values from VASP.

Calculated values
Magnetic moment   0.0000 μB/atom
Crystal system   tetragonal
ΔE_f   0.2964 eV per atom
Raw total energy   -46.489 eV per cell

Cell and atoms, written as Quantum ESPRESSO input:
```
&SYSTEM
  ibrav = 0, nat = 11, ntyp = 3
/
ATOMIC_SPECIES
Nd 144.24 Nd.upf
Pr 140.91 Pr.upf
Ca 40.08 Ca.upf
CELL_PARAMETERS angstrom
7.693 -3.081 -5.698
-5.337 8.279 2.030
-1.986 3.081 9.366
ATOMIC_POSITIONS angstrom
Nd 0.148 3.033 2.082
Nd -3.382 5.246 1.300
Nd -1.266 1.963 5.932
Nd -2.453 9.397 7.780
Pr -5.132 7.961 5.892
Pr 1.178 2.599 -1.834
Pr -1.405 5.134 4.280
Pr 3.598 0.318 -1.418
Pr 2.854 0.000 1.834
Pr -4.013 6.226 8.340
Ca 0.000 0.000 0.000
```

Material: Ca2Pr2Nd5
Method: DFT, PBE-GGA
State: relaxed Values from VASP.

Calculated values
Magnetic moment   0.0000 μB/atom
Crystal system   monoclinic
ΔE_f   0.0396 eV per atom
Raw total energy   -37.045 eV per cell

Cell and atoms, written as Quantum ESPRESSO input:
```
&SYSTEM
  ibrav = 0, nat = 9, ntyp = 3
/
ATOMIC_SPECIES
Pr 140.91 Pr.upf
Ca 40.08 Ca.upf
Nd 144.24 Nd.upf
CELL_PARAMETERS angstrom
-1.623 -1.224 -4.879
2.049 -7.931 1.308
-6.729 1.694 4.677
ATOMIC_POSITIONS angstrom
Pr -5.058 0.696 1.508
Pr -1.245 -8.157 -0.402
Ca -2.663 -2.161 1.428
Ca -3.640 -5.301 -0.322
Nd 0.000 0.000 0.000
Nd -0.202 -5.100 1.347
Nd -0.862 -3.118 -1.794
Nd -6.102 -2.361 -0.241
Nd -5.441 -4.344 2.900
```

Material: CaPr3Nd7
Method: DFT, PBE-GGA
State: relaxed Values from VASP.

Calculated values
Magnetic moment   0.0000 μB/atom
Crystal system   monoclinic
ΔE_f   0.2097 eV per atom
Raw total energy   -47.409 eV per cell

Cell and atoms, written as Quantum ESPRESSO input:
```
&SYSTEM
  ibrav = 0, nat = 11, ntyp = 3
/
ATOMIC_SPECIES
Nd 144.24 Nd.upf
Pr 140.91 Pr.upf
Ca 40.08 Ca.upf
CELL_PARAMETERS angstrom
6.648 -0.007 0.419
0.402 7.841 1.119
-0.036 0.048 7.930
ATOMIC_POSITIONS angstrom
Nd 0.183 3.945 4.525
Nd 1.870 3.359 1.253
Nd 1.665 6.035 7.012
Nd 1.719 0.678 3.597
Nd 5.144 4.523 8.215
Nd 5.295 7.204 5.872
Nd 5.350 1.847 2.457
Pr 0.040 1.389 6.758
Pr 3.324 -0.004 0.209
Pr 0.326 6.500 2.291
Ca 3.507 3.941 4.734
```

Material: CaPrNd3
Method: DFT, PBE-GGA
State: relaxed Values from VASP.

Calculated values
Magnetic moment   0.0000 μB/atom
Crystal system   trigonal
ΔE_f   0.3467 eV per atom
Raw total energy   -38.702 eV per cell

Cell and atoms, written as Quantum ESPRESSO input:
```
&SYSTEM
  ibrav = 0, nat = 10, ntyp = 3
/
ATOMIC_SPECIES
Ca 40.08 Ca.upf
Nd 144.24 Nd.upf
Pr 140.91 Pr.upf
CELL_PARAMETERS angstrom
-4.753 -2.100 3.434
-0.880 -6.128 0.682
5.143 -2.664 11.138
ATOMIC_POSITIONS angstrom
Ca 3.255 -5.406 12.496
Ca -3.745 -5.485 2.759
Nd 0.157 -4.102 10.904
Nd -1.661 -3.428 5.051
Nd -0.647 -6.789 4.350
Nd -3.513 -6.176 6.405
Nd 3.023 -4.715 8.849
Nd 1.170 -7.463 10.203
Pr 1.638 -2.703 6.263
Pr -2.128 -8.188 8.991
```

Material: CaPr2Nd3
Method: DFT, PBE-GGA
State: relaxed Values from VASP.

Calculated values
Magnetic moment   0.0000 μB/atom
Crystal system   triclinic
ΔE_f   0.0588 eV per atom
Raw total energy   -51.023 eV per cell

Cell and atoms, written as Quantum ESPRESSO input:
```
&SYSTEM
  ibrav = 0, nat = 12, ntyp = 3
/
ATOMIC_SPECIES
Pr 140.91 Pr.upf
Nd 144.24 Nd.upf
Ca 40.08 Ca.upf
CELL_PARAMETERS angstrom
-1.618 2.732 -1.701
-8.725 -5.113 0.076
-1.676 9.283 8.856
ATOMIC_POSITIONS angstrom
Pr -9.614 -1.831 0.467
Pr -2.405 8.734 6.764
Pr -5.906 -1.733 0.914
Pr -6.113 8.636 6.317
Nd -2.447 5.335 5.166
Nd -8.144 2.075 5.327
Nd -9.571 1.568 2.065
Nd -5.822 1.755 2.630
Nd -3.875 4.828 1.904
Nd -6.197 5.148 4.602
Ca -2.815 0.037 0.844
Ca -9.204 6.866 6.387
```

Material: Ca4Pr3Nd
Method: DFT, PBE-GGA
State: relaxed Values from VASP.

Calculated values
Magnetic moment   0.0000 μB/atom
Crystal system   orthorhombic
ΔE_f   0.0179 eV per atom
Raw total energy   -53.938 eV per cell

Cell and atoms, written as Quantum ESPRESSO input:
```
&SYSTEM
  ibrav = 0, nat = 16, ntyp = 3
/
ATOMIC_SPECIES
Ca 40.08 Ca.upf
Pr 140.91 Pr.upf
Nd 144.24 Nd.upf
CELL_PARAMETERS angstrom
5.365 0.000 0.000
0.000 10.753 0.000
0.000 0.000 10.730
ATOMIC_POSITIONS angstrom
Ca 3.028 9.320 2.686
Ca 3.028 1.437 0.000
Ca 0.346 1.433 8.051
Ca 0.346 1.433 2.679
Ca 0.346 9.316 5.365
Ca 0.346 9.324 0.000
Ca 3.028 9.320 8.044
Ca 3.028 1.428 5.365
Pr 3.028 6.580 0.000
Pr 0.346 4.172 5.365
Pr 0.346 6.580 2.684
Pr 3.028 4.172 8.049
Pr 3.028 4.172 2.681
Pr 0.346 6.580 8.046
Nd 0.346 4.175 0.000
Nd 3.028 6.577 5.365
```

Material: CaPr8Nd3
Method: DFT, PBE-GGA
State: relaxed Values from VASP.

Calculated values
Magnetic moment   0.0005 μB/atom
Crystal system   monoclinic
ΔE_f   0.1294 eV per atom
Raw total energy   -52.988 eV per cell

Cell and atoms, written as Quantum ESPRESSO input:
```
&SYSTEM
  ibrav = 0, nat = 12, ntyp = 3
/
ATOMIC_SPECIES
Pr 140.91 Pr.upf
Nd 144.24 Nd.upf
Ca 40.08 Ca.upf
CELL_PARAMETERS angstrom
3.447 0.000 -1.015
0.766 13.165 2.602
1.435 9.040 11.234
ATOMIC_POSITIONS angstrom
Pr 3.189 16.873 10.830
Pr 3.406 20.213 11.566
Pr 1.148 11.884 3.898
Pr 1.886 9.428 6.407
Pr 2.222 1.916 1.187
Pr 4.499 10.230 8.917
Pr 3.753 12.639 6.384
Pr 2.434 5.371 1.906
Nd 2.931 13.386 9.955
Nd 2.740 8.664 2.946
Nd 3.471 6.128 5.428
Ca 2.175 16.063 7.385
```

Material: CaPrNd2
Method: DFT, PBE-GGA
State: relaxed Values from VASP.

Calculated values
Magnetic moment   0.0000 μB/atom
Crystal system   trigonal
ΔE_f   0.0377 eV per atom
Raw total energy   -16.166 eV per cell

Cell and atoms, written as Quantum ESPRESSO input:
```
&SYSTEM
  ibrav = 0, nat = 4, ntyp = 3
/
ATOMIC_SPECIES
Nd 144.24 Nd.upf
Ca 40.08 Ca.upf
Pr 140.91 Pr.upf
CELL_PARAMETERS angstrom
3.719 0.000 0.000
1.859 3.220 0.000
1.859 1.073 12.323
ATOMIC_POSITIONS angstrom
Nd 1.859 1.073 2.972
Nd 5.578 3.220 9.351
Ca 3.719 2.147 6.162
Pr 0.000 0.000 0.000
```

Copy entry 8 word for word.
Material: CaPrNd3
Method: DFT, PBE-GGA
State: relaxed Values from VASP.

Calculated values
Magnetic moment   0.0000 μB/atom
Crystal system   trigonal
ΔE_f   0.3467 eV per atom
Raw total energy   -38.702 eV per cell

Cell and atoms, written as Quantum ESPRESSO input:
```
&SYSTEM
  ibrav = 0, nat = 10, ntyp = 3
/
ATOMIC_SPECIES
Ca 40.08 Ca.upf
Nd 144.24 Nd.upf
Pr 140.91 Pr.upf
CELL_PARAMETERS angstrom
-4.753 -2.100 3.434
-0.880 -6.128 0.682
5.143 -2.664 11.138
ATOMIC_POSITIONS angstrom
Ca 3.255 -5.406 12.496
Ca -3.745 -5.485 2.759
Nd 0.157 -4.102 10.904
Nd -1.661 -3.428 5.051
Nd -0.647 -6.789 4.350
Nd -3.513 -6.176 6.405
Nd 3.023 -4.715 8.849
Nd 1.170 -7.463 10.203
Pr 1.638 -2.703 6.263
Pr -2.128 -8.188 8.991
```